No. 1
Material: CeErAlZn
Method: DFT, GGA-PBE
State: relaxed

Output
ρ   7.1 g/cm3
Calculated formation energy   -1.2 eV/f.u.

```
4
Lattice="-4.465 -1.728 -1.725 -1.556 -4.690 1.220 -3.896 -0.633 3.213" Properties=species:S:1:pos:R:3 pbc="T T T"
Al -4.959 -3.525 1.354
Ce -2.479 -1.763 0.677
Zn 0.000 0.000 0.000
Er -7.438 -5.288 2.031
```

No. 2
Material: Ce2ErAl2Zn2
Method: DFT, GGA-PBE
State: relaxed

Output
ρ   7.1 g/cm3
Calculated formation energy   -2.3 eV/f.u.

```
7
Lattice="-3.023 2.066 -2.400 -4.178 -1.299 0.151 -3.912 5.905 6.015" Properties=species:S:1:pos:R:3 pbc="T T T"
Al -2.713 1.423 0.648
Al -8.400 5.249 3.118
Ce -3.272 3.515 3.153
Ce -7.841 3.157 0.613
Zn -5.101 1.632 -0.157
Zn -6.012 5.040 3.923
Er 0.000 0.000 0.000
```

No. 3
Material: CeEu2Al
Method: DFT, GGA-PBE
State: relaxed

Output
ρ   6.2 g/cm3
Distance to the lowest polymorph of the same formula   0.1366 eV/atom
Calculated formation energy   0.5 eV/f.u.

```
4
Lattice="3.579 0.000 0.000 1.790 3.100 0.000 1.790 1.033 11.302" Properties=species:S:1:pos:R:3 pbc="T T T"
Eu 5.369 3.100 8.146
Eu 1.790 1.033 3.156
Al 3.579 2.067 5.651
Ce 0.000 0.000 0.000
```

No. 4
Material: CeEu2Al
Method: DFT, GGA-PBE
State: relaxed

Output
ρ   6.6 g/cm3
Distance to the lowest polymorph of the same formula   0.0000 eV/atom
Calculated formation energy   0.0 eV/f.u.

```
4
Lattice="-0.275 4.999 0.211 -2.762 -0.320 3.995 3.999 0.103 2.773" Properties=species:S:1:pos:R:3 pbc="T T T"
Eu -1.381 -0.160 1.997
Eu 1.999 0.052 1.387
Ce -0.138 2.499 0.105
Al 0.481 2.391 3.489
```